The following is a GGA-PBE calculation of a relaxed PaNi2H crystal, from Alexandria via LeMat-Bulk.

a b c (Å): 4.662 6.408 3.567
angles (deg): 90.00 90.00 90.00
Fractional coordinates of all 8 atoms:
Pa: 0.250 0.250 0.012
Pa: 0.750 0.750 0.988
Ni: 0.250 0.550 0.555
Ni: 0.250 0.950 0.555
Ni: 0.750 0.050 0.445
Ni: 0.750 0.450 0.445
H: 0.250 0.750 0.876
H: 0.750 0.250 0.124

Computed properties:
energy relative to the lowest polymorph listed for this composition = 0.0 meV per atom

=====

The following is a GGA-PBE calculation of a relaxed Cs2CaH5 crystal, from Alexandria via LeMat-Bulk.

a b c (Å): 7.635 7.635 13.590
angles (deg): 90.00 90.00 145.98
Fractional coordinates of all 16 atoms:
Cs: 0.133 0.867 0.574
Cs: 0.133 0.867 0.926
Cs: 0.867 0.133 0.074
Cs: 0.867 0.133 0.426
Ca: 0.160 0.840 0.250
Ca: 0.840 0.160 0.750
H: 0.057 0.943 0.129
H: 0.057 0.943 0.371
H: 0.245 0.755 0.111
H: 0.245 0.755 0.389
H: 0.283 0.717 0.750
H: 0.717 0.283 0.250
H: 0.755 0.245 0.611
H: 0.755 0.245 0.889
H: 0.943 0.057 0.629
H: 0.943 0.057 0.871

=====

| no. | uncorrected energy (eV/atom) | total magnetic moment (μB/atom) |
| --- | --- | --- |
| 1 | -6.4504 | 0.00 |
| 2 | -2.5080 | 0.13 |